Compound: PaAg4Au
Source: Alexandria
Functional: GGA-PBE
Structure: optimized geometry

Lattice parameters (Å, degrees): 7.7817 7.7817 7.7817 90.00 90.00 90.00
Last column: nearest neighbours and their distance in Å.
Space group F-43m (No. 216)
Asymmetric unit:
Pa (0.0000, 0.0000, 0.0000) (multiplicity 4)  12 Ag 3.23, 4 Au 3.37
Ag (0.1245, 0.1245, 0.6245) (multiplicity 16)  6 Ag 2.74-2.76
Au (0.2500, 0.2500, 0.2500) (multiplicity 4)  12 Ag 3.23, 4 Pa 3.37

total energy = -3.9962 eV per atom
density of states at the Fermi level = 12.3 states/eV/cell